Record 1
# LiNi2PtC | Alexandria | GGA-PBE | relaxed
# - total DFT energy (no corrections) (eV per atom) = -5.8230
# - ΔE_f (meV/atom) = -75
data_LiNi2PtC
_space_group_name_H-M_alt 'P 4/m m m'
_space_group_IT_number 123
_space_group_name_Hall '-P 4 2'
_cell_length_a 3.792
_cell_length_b 3.792
_cell_length_c 4.067
_cell_angle_alpha 90.00
_cell_angle_beta 90.00
_cell_angle_gamma 90.00
loop_
_atom_site_label
_atom_site_fract_x
_atom_site_fract_y
_atom_site_fract_z
_atom_site_occupancy
Li1 0.000 0.000 0.000 1
Ni1 0.000 0.500 0.500 1
Pt1 0.500 0.500 0.000 1
C1 0.500 0.500 0.500 1

***

Record 2
# CaSiNi2 | Alexandria | GGA-PBE | relaxed
# - total DFT energy (no corrections) (eV per atom) = -4.9520
# - uncorrected formation energy (eV/atom) = -0.205
data_CaSiNi2
_space_group_name_H-M_alt 'P 63/m m c'
_space_group_IT_number 194
_space_group_name_Hall '-P 6c 2c'
_cell_length_a 4.5521
_cell_length_b 4.5521
_cell_length_c 6.9012
_cell_angle_alpha 90.00
_cell_angle_beta 90.00
_cell_angle_gamma 120.00
loop_
_atom_site_label
_atom_site_fract_x
_atom_site_fract_y
_atom_site_fract_z
_atom_site_occupancy
Ca1 0.0000 0.0000 0.0000 1
Si1 0.3333 0.6667 0.2500 1
Ni1 0.3333 0.6667 0.5818 1

***

Record 3
# Fe3BiH | Alexandria | GGA-PBE | relaxed
# - total DFT energy (no corrections) (eV per atom) = -4.5619
data_Fe3BiH
_space_group_name_H-M_alt 'P m -3 m'
_space_group_IT_number 221
_space_group_name_Hall '-P 4 2 3'
_cell_length_a 5.064
_cell_length_b 5.064
_cell_length_c 5.064
_cell_angle_alpha 90.00
_cell_angle_beta 90.00
_cell_angle_gamma 90.00
loop_
_atom_site_label
_atom_site_fract_x
_atom_site_fract_y
_atom_site_fract_z
_atom_site_occupancy
Fe1 0.000 0.000 0.500 1
Bi1 0.000 0.000 0.000 1
H1 0.500 0.500 0.500 1

***

Record 4
# CeHoSc | Alexandria | GGA-PBE | relaxed
# - total DFT energy (no corrections) (eV per atom) = -5.5284
# - ΔE_f (meV/atom) = 86
data_CeHoSc
_space_group_name_H-M_alt 'I 4 m m'
_space_group_IT_number 107
_space_group_name_Hall 'I 4 -2'
_cell_length_a 3.417
_cell_length_b 3.417
_cell_length_c 14.443
_cell_angle_alpha 90.00
_cell_angle_beta 90.00
_cell_angle_gamma 90.00
loop_
_atom_site_label
_atom_site_fract_x
_atom_site_fract_y
_atom_site_fract_z
_atom_site_occupancy
Ce1 0.000 0.000 0.000 1
Ho1 0.000 0.000 0.672 1
Sc1 0.000 0.000 0.341 1